[1]
Pm8YEr6 | GGA-PBE | optimized geometry

abc: 9.0814 9.0814 20.8769
angles: 90.00 90.00 120.00
Space group R-3 (No. 148, hexagonal axes)
Inequivalent atoms, fractional coordinates:
Pm 0.0000 0.0000 0.0776
Pm 0.0810 0.5573 0.3069
Y 0.0000 0.0000 0.5000
Er 0.0468 0.2441 0.2056

## Properties
**Offset from the most stable computed form**: 0.00 kJ/mol of atoms



[2]
MnFe3Mo | GGA-PBE | optimized geometry

abc: 4.139 4.139 4.139
angles: 90.00 90.00 90.00
Space group Pm-3m (No. 221)
Inequivalent atoms, fractional coordinates:
Mn 0.000 0.000 0.000
Fe 0.000 0.000 0.500
Mo 0.500 0.500 0.500

## Properties
**Offset from the most stable computed form**: 0.00 kJ/mol of atoms



[3]
SmDy2TmBi4 | GGA-PBE | optimized geometry

abc: 7.769 4.490 7.772
angles: 90.00 109.48 90.00
Space group P2/m (No. 10)
Inequivalent atoms, fractional coordinates:
Sm 0.000 0.000 0.000
Dy 0.000 0.500 0.500
Dy 0.500 0.000 0.500
Tm 0.500 0.500 0.000
Bi 0.254 0.000 0.750
Bi 0.255 0.500 0.253

## Properties
**Uncorrected energy**: -5.09 eV/atom



[4]
Nd2SiPb | GGA-PBE | optimized geometry

abc: 4.2144 4.2144 24.1071
angles: 90.00 90.00 120.00
Space group R-3m (No. 166, hexagonal axes)
Inequivalent atoms, fractional coordinates:
Nd 0.0000 0.0000 0.2362
Si 0.0000 0.0000 0.5000
Pb 0.0000 0.0000 0.0000

## Properties
**Raw formation energy**: -0.48 eV/atom
**Offset from the most stable computed form**: 1.49 kJ/mol of atoms



[5]
La6Tb3Mg | GGA-PBE | optimized geometry

abc: 9.4485 9.4485 26.7603
angles: 90.00 90.00 120.00
Space group R-3 (No. 148, hexagonal axes)
Inequivalent atoms, fractional coordinates:
La 0.0119 0.7994 0.1155
La 0.0453 0.5532 0.8989
Tb 0.0839 0.5606 0.3306
Mg 0.0000 0.0000 0.0000
Mg 0.0000 0.0000 0.5000

## Properties
**Uncorrected energy**: -4.37 eV/atom



[6]
TlInSnAu3 | GGA-PBE | optimized geometry

abc: 7.038 17.188 5.688
angles: 90.00 90.00 90.00
Space group Cmcm (No. 63)
Inequivalent atoms, fractional coordinates:
Tl 0.000 0.237 0.250
In 0.000 0.380 0.750
Sn 0.000 0.066 0.750
Au 0.000 0.224 0.750
Au 0.202 0.500 0.000

## Properties
**Uncorrected energy**: -3.19 eV/atom